1.
VASP calculation (PBE) on a relaxed structure of Ti2FeTc.

Cell and atoms, written as POSCAR:
```
Ti2FeTc
1.0
-1.9238 2.3497 -0.1236
-1.1505 -0.7278 4.0704
3.1173 2.6232 1.3501
Tc Ti Fe
1 2 1
Cartesian
-0.9619 1.1749 -0.0618 Tc
1.5586 1.3116 0.6751 Ti
-0.5752 -0.3639 2.0352 Ti
0.0215 2.1226 2.6485 Fe
```

Results
As for the total magnetic moment: 0.01 μB per cell. The total DFT energy (no corrections) is -36.36 eV for the cell shown. Its volume is 56 Å³ per cell.



2.
VASP calculation (PBE) on a relaxed structure of Ti3FeTc.

Cell and atoms, written as POSCAR:
```
Ti3FeTc
1.0
-1.5045 3.2911 2.4821
-0.3434 -2.7331 3.4158
4.1078 0.9769 1.1946
Fe Tc Ti
1 1 3
Cartesian
0.0000 0.0000 0.0000 Fe
1.1299 0.7674 3.5462 Tc
-0.7523 1.6455 1.2410 Ti
-0.1717 -1.3666 1.7079 Ti
2.0539 0.4885 0.5973 Ti
```

Results
As for the total magnetic moment: 0.00 μB per cell. The total DFT energy (no corrections) is -40.22 eV for the cell shown. Its volume is 84 Å³ per cell. The value obtained for the offset from the most stable computed form is 0.000 eV per atom.



> Look up the total magnetic moment of the first one.

0.01 μB per cell



> What is the formula in the first record?

Ti2FeTc



> Which value of total magnetic moment does entry 1 give?

0.01 μB per cell